Below is an optimized crystal structure of Tb2Zn15Cd2, with properties calculated at the PBE level.

## Properties
The space group is No. 166. As for the calculated volume: 319.5 Å³ per cell. For the energy, the calculation gives -1.805 eV/atom. Its crystal system is trigonal.

a b c (Å): 6.8863 6.8863 6.8863
angles (deg): 82.84 82.84 82.84
Atoms (fractional coordinates):
Tb (0.3421, 0.3421, 0.3421)
Tb (0.6579, 0.6579, 0.6579)
Zn (0.5000, 0.0000, 0.0000)
Zn (0.0000, 0.0000, 0.5000)
Zn (0.0000, 0.5000, 0.0000)
Zn (0.0000, 0.6978, 0.3022)
Zn (0.6978, 0.3022, 0.0000)
Zn (0.3022, 0.0000, 0.6978)
Zn (0.3022, 0.6978, 0.0000)
Zn (0.6978, 0.0000, 0.3022)
Zn (0.0000, 0.3022, 0.6978)
Zn (0.1671, 0.6456, 0.6456)
Zn (0.6456, 0.6456, 0.1671)
Zn (0.6456, 0.1671, 0.6456)
Zn (0.8329, 0.3544, 0.3544)
Zn (0.3544, 0.3544, 0.8329)
Zn (0.3544, 0.8329, 0.3544)
Cd (0.1057, 0.1057, 0.1057)
Cd (0.8943, 0.8943, 0.8943)